Compound: Na2TlV
Source: Alexandria via LeMat-Bulk
Functional: GGA-PBE
Structure: relaxed

Cell and atoms, written as extended XYZ:
```
8
Lattice="-8.3299 -1.9301 -0.6893 0.4494 -4.5350 7.2677 -4.6223 -0.8376 4.8258" Properties=species:S:1:pos:R:3 pbc="T T T"
Na -6.3263 -1.9874 1.6824
Na -6.4230 -3.0413 6.0682
Na -1.8952 -3.2802 5.6643
Na -10.3610 -6.2964 9.3936
Tl 0.0000 0.0000 0.0000
Tl -8.4462 -3.0001 3.7129
V -3.9402 -3.2325 3.2892
V -4.0566 -4.3026 7.6914
```

- crystal system = tetragonal
- polymorph energy (0 for the lowest one) (eV per atom) = 0.022
- space group = No. 122
- E_form (meV per atom) = 651

Compound: NaTl3W
Source: Alexandria via LeMat-Bulk
Functional: GGA-PBE
Structure: relaxed

Cell and atoms, written as extended XYZ:
```
5
Lattice="5.4168 0.0000 0.0000 0.0000 5.4168 0.0000 0.0000 0.0000 5.4168" Properties=species:S:1:pos:R:3 pbc="T T T"
Tl 0.0000 2.7084 0.0000
Tl 0.0000 0.0000 2.7084
Tl 2.7084 0.0000 0.0000
Na 2.7084 2.7084 2.7084
W 0.0000 0.0000 0.0000
```

- crystal system = cubic
- polymorph energy (0 for the lowest one) (eV per atom) = 0.000
- space group = No. 221
- E_form (meV per atom) = 557

Compound: NaTlW3
Source: Alexandria via LeMat-Bulk
Functional: GGA-PBE
Structure: relaxed

Cell and atoms, written as extended XYZ:
```
5
Lattice="-0.8370 -3.9419 -2.2165 -1.9529 -1.7181 3.7929 -4.0789 1.6314 -1.3612" Properties=species:S:1:pos:R:3 pbc="T T T"
Tl -3.4344 -2.0143 0.1076
Na 0.0000 0.0000 0.0000
W -2.0395 0.8157 -0.6806
W -0.9765 -0.8591 1.8965
W -0.4185 -1.9710 -1.1083
```

- crystal system = cubic
- polymorph energy (0 for the lowest one) (eV per atom) = 0.000
- space group = No. 221
- E_form (meV per atom) = 2986

Compound: Na3TlW
Source: Alexandria via LeMat-Bulk
Functional: GGA-PBE
Structure: relaxed

Cell and atoms, written as extended XYZ:
```
5
Lattice="-2.5119 4.0864 3.4351 -3.5760 -4.1068 2.2704 3.9637 -1.1154 4.2253" Properties=species:S:1:pos:R:3 pbc="T T T"
Na 1.9818 -0.5577 2.1127
Na -1.2560 2.0432 1.7176
Na -1.7880 -2.0534 1.1352
Tl -1.0621 -0.5679 4.9654
W 0.0000 0.0000 0.0000
```

- crystal system = cubic
- polymorph energy (0 for the lowest one) (eV per atom) = 0.000
- space group = No. 221
- E_form (meV per atom) = 1410

Compound: Na3TlW
Source: Alexandria via LeMat-Bulk
Functional: GGA-PBE
Structure: relaxed

Cell and atoms, written as extended XYZ:
```
5
Lattice="-4.8256 -0.9790 2.8393 2.8684 0.0904 4.9061 -0.8902 5.5982 0.4173" Properties=species:S:1:pos:R:3 pbc="T T T"
Na -2.4128 -0.4895 1.4197
Na 1.4342 0.0452 2.4531
Na -0.4451 2.7991 0.2086
W -1.4237 2.3548 4.0814
Tl 0.0000 0.0000 0.0000
```

- crystal system = cubic
- polymorph energy (0 for the lowest one) (eV per atom) = 0.071
- space group = No. 221
- E_form (meV per atom) = 1481

Compound: NaYTl
Source: Alexandria via LeMat-Bulk
Functional: GGA-PBE
Structure: relaxed

Cell and atoms, written as extended XYZ:
```
12
Lattice="5.8607 0.0000 0.0000 0.0000 5.7796 0.0000 0.0000 0.0000 10.0545" Properties=species:S:1:pos:R:3 pbc="T T T"
Na 1.4652 0.0003 5.6674
Na 4.3955 2.8902 9.4143
Na 4.3955 5.7793 4.3872
Na 1.4652 2.8895 0.6402
Tl 4.3955 5.7796 7.7630
Tl 1.4652 2.8898 7.3184
Tl 4.3955 2.8899 2.7361
Tl 1.4652 0.0000 2.2915
Y 4.3955 2.8895 6.2103
Y 4.3955 0.0003 1.1830
Y 1.4652 2.8901 3.8443
Y 1.4652 5.7793 8.8715
```

- crystal system = orthorhombic
- polymorph energy (0 for the lowest one) (eV per atom) = 0.107
- space group = No. 63
- E_form (meV per atom) = -65

Compound: NaYTl
Source: Alexandria via LeMat-Bulk
Functional: GGA-PBE
Structure: relaxed

Cell and atoms, written as extended XYZ:
```
3
Lattice="-2.2400 2.1838 -2.0626 1.7069 -1.1919 -3.1156 -3.9921 -5.3236 2.1028" Properties=species:S:1:pos:R:3 pbc="T T T"
Na -1.1094 -0.4595 -2.6853
Y -2.5924 -2.9387 -0.2960
Tl -4.0711 -3.8169 -3.0235
```

- crystal system = tetragonal
- polymorph energy (0 for the lowest one) (eV per atom) = 0.155
- space group = No. 107
- E_form (meV per atom) = -17

Compound: Na2YTl2
Source: Alexandria via LeMat-Bulk
Functional: GGA-PBE
Structure: relaxed

Cell and atoms, written as extended XYZ:
```
5
Lattice="-1.8121 3.0375 -2.3874 -0.3329 -2.7499 -3.2460 -8.1045 -2.0343 -0.2503" Properties=species:S:1:pos:R:3 pbc="T T T"
Na -4.7550 -2.3202 -3.1565
Na -5.4946 0.5735 -2.7272
Y 0.0000 0.0000 0.0000
Tl -7.7828 -1.4586 -3.5758
Tl -2.4668 -0.2881 -2.3078
```

- crystal system = tetragonal
- polymorph energy (0 for the lowest one) (eV per atom) = 0.000
- space group = No. 139
- E_form (meV per atom) = -69

Compound: Na3YTl4
Source: Alexandria via LeMat-Bulk
Functional: GGA-PBE
Structure: relaxed

Cell and atoms, written as extended XYZ:
```
8
Lattice="-2.1116 4.9921 0.0347 -4.6548 -1.9511 -1.9776 0.8976 -2.6231 7.9178" Properties=species:S:1:pos:R:3 pbc="T T T"
Na -2.3274 -0.9755 -0.9888
Na -3.5769 -1.5298 2.5038
Na -2.2919 1.9477 3.4712
Tl -3.9920 1.2502 0.7340
Tl -5.2612 0.6876 4.2690
Tl -1.8768 -0.8324 5.2410
Tl -0.6076 -0.2698 1.7059
Y -1.0558 2.4960 0.0174
```

- crystal system = tetragonal
- space group = No. 139
- E_form (meV per atom) = -165

Compound: Na2Y2Tl3
Source: Alexandria via LeMat-Bulk
Functional: GGA-PBE
Structure: relaxed

Cell and atoms, written as extended XYZ:
```
7
Lattice="3.8029 0.0000 0.5047 0.0000 3.7449 0.0000 -0.0156 0.0000 14.6973" Properties=species:S:1:pos:R:3 pbc="T T T"
Na 1.1447 1.8725 5.9547
Na 2.6427 1.8725 9.2473
Tl 0.0000 0.0000 0.0000
Tl 0.4837 0.0000 10.9354
Tl 3.3037 0.0000 4.2665
Y 2.1395 1.8725 13.0390
Y 1.6479 1.8725 2.1630
```

- crystal system = orthorhombic
- space group = No. 65
- E_form (meV per atom) = -220

Compound: NaY2Tl
Source: Alexandria via LeMat-Bulk
Functional: GGA-PBE
Structure: relaxed

Cell and atoms, written as extended XYZ:
```
4
Lattice="-3.4437 1.9062 -1.7353 0.3372 -3.0941 -4.0681 -3.0509 -3.3928 2.3276" Properties=species:S:1:pos:R:3 pbc="T T T"
Y 0.1686 -1.5471 -2.0340
Y -1.5254 -1.6964 1.1638
Tl -3.0787 -2.2904 -1.7379
Na -1.7218 0.9531 -0.8676
```

- crystal system = tetragonal
- polymorph energy (0 for the lowest one) (eV per atom) = 0.017
- space group = No. 123
- E_form (meV per atom) = -72

Compound: Na2YTl4
Source: Alexandria via LeMat-Bulk
Functional: GGA-PBE
Structure: relaxed

Cell and atoms, written as extended XYZ:
```
7
Lattice="6.0905 -0.0614 -2.1808 -3.0535 5.2998 -2.1075 -0.0354 0.0614 6.4690" Properties=species:S:1:pos:R:3 pbc="T T T"
Tl 3.0452 -0.0307 -1.0904
Tl -0.0177 0.0307 3.2345
Tl 1.5008 2.6499 1.0904
Tl -1.5268 2.6499 -1.0537
Na 1.5185 2.6192 -2.1441
Na 3.0275 0.0000 2.1441
Y 0.0000 0.0000 0.0000
```

- crystal system = tetragonal
- space group = No. 139
- E_form (meV per atom) = -107

Compound: Na4YTl15
Source: Alexandria via LeMat-Bulk
Functional: GGA-PBE
Structure: relaxed

Cell and atoms, written as extended XYZ:
```
20
Lattice="-2.9531 1.2359 3.5872 -3.7751 -1.4113 -2.6216 1.9520 -22.7974 9.4615" Properties=species:S:1:pos:R:3 pbc="T T T"
Tl -0.1255 -21.2855 7.2304
Tl -1.7931 -18.4358 8.0978
Tl -0.1074 -15.3728 8.4302
Tl -1.2867 -1.5995 2.7139
Tl -2.9832 -4.5369 2.3293
Tl -3.3641 -0.0877 0.4828
Tl -2.1916 -13.7820 6.1663
Tl -0.9116 -12.1043 3.4200
Tl -0.8938 -6.1886 4.6185
Tl -0.5184 -16.6964 5.3258
Tl -1.3048 -7.5122 1.5141
Tl -0.5006 -10.7807 6.5243
Tl -1.6977 -2.9231 -0.3905
Tl -2.5847 -9.1907 4.2608
Tl 0.2855 -19.9619 10.3348
Y 0.0000 0.0000 0.0000
Na 0.3800 -4.4381 1.8419
Na 0.7801 -9.1110 3.7813
Na 1.5720 -18.3592 7.6196
Na 1.1719 -13.6864 5.6802
```

- crystal system = tetragonal
- space group = No. 123
- E_form (meV per atom) = -91

Compound: NaYTl6
Source: Alexandria via LeMat-Bulk
Functional: GGA-PBE
Structure: relaxed

Cell and atoms, written as extended XYZ:
```
8
Lattice="4.8064 0.0000 0.0000 0.0000 4.8064 0.0000 0.0000 0.0000 9.6855" Properties=species:S:1:pos:R:3 pbc="T T T"
Tl 2.4032 0.0000 2.4444
Tl 0.0000 2.4032 2.4444
Tl 2.4032 2.4032 0.0000
Tl 2.4032 2.4032 4.8427
Tl 2.4032 0.0000 7.2411
Tl 0.0000 2.4032 7.2411
Y 0.0000 0.0000 4.8427
Na 0.0000 0.0000 0.0000
```

- crystal system = tetragonal
- polymorph energy (0 for the lowest one) (eV per atom) = 0.004
- space group = No. 123
- E_form (meV per atom) = -125

Compound: Na2Y2Tl
Source: Alexandria via LeMat-Bulk
Functional: GGA-PBE
Structure: relaxed

Cell and atoms, written as extended XYZ:
```
10
Lattice="7.4978 0.0000 0.0000 0.0000 7.4978 0.0000 0.0000 0.0000 5.1876" Properties=species:S:1:pos:R:3 pbc="T T T"
Tl 0.0000 0.0000 0.0000
Tl 3.7489 3.7489 0.0000
Na 4.7056 0.9567 0.0000
Na 6.5411 4.7056 0.0000
Na 0.9567 2.7922 0.0000
Na 2.7922 6.5411 0.0000
Y 1.4059 5.1548 2.5938
Y 5.1548 6.0918 2.5938
Y 2.3430 1.4059 2.5938
Y 6.0918 2.3430 2.5938
```

- crystal system = tetragonal
- space group = No. 127
- E_form (meV per atom) = 232

Compound: NaY4Tl5
Source: Alexandria via LeMat-Bulk
Functional: GGA-PBE
Structure: relaxed

Cell and atoms, written as extended XYZ:
```
10
Lattice="3.7765 0.0000 0.0000 0.0000 3.7765 0.0000 0.0000 0.0000 19.3112" Properties=species:S:1:pos:R:3 pbc="T T T"
Y 0.0000 0.0000 15.4729
Y 0.0000 0.0000 7.7202
Y 0.0000 0.0000 11.5911
Y 0.0000 0.0000 3.8383
Tl 1.8882 1.8882 5.8082
Tl 1.8882 1.8882 13.5030
Tl 1.8882 1.8882 2.0029
Tl 1.8882 1.8882 17.3083
Tl 1.8882 1.8882 9.6556
Na 0.0000 0.0000 0.0000
```

- crystal system = tetragonal
- space group = No. 123
- E_form (meV per atom) = -318

Compound: NaY2Tl
Source: Alexandria via LeMat-Bulk
Functional: GGA-PBE
Structure: relaxed

Cell and atoms, written as extended XYZ:
```
4
Lattice="-5.1032 -0.2100 1.7803 -4.1041 0.3883 -3.5017 -3.0614 -4.3290 -1.0694" Properties=species:S:1:pos:R:3 pbc="T T T"
Y -3.0672 -1.0377 -0.6977
Y -9.2015 -3.1130 -2.0931
Na 0.0000 0.0000 0.0000
Tl -6.1343 -2.0754 -1.3954
```

- crystal system = cubic
- polymorph energy (0 for the lowest one) (eV per atom) = 0.000
- space group = No. 225
- E_form (meV per atom) = -89

Compound: NaY2Tl
Source: Alexandria via LeMat-Bulk
Functional: GGA-PBE
Structure: relaxed

Cell and atoms, written as extended XYZ:
```
8
Lattice="-2.0754 -3.8796 1.5034 4.1226 -2.1444 0.1574 2.4306 0.5009 11.8383" Properties=species:S:1:pos:R:3 pbc="T T T"
Na 3.7884 -2.3278 6.4131
Na 1.0236 -3.0120 0.8304
Y -0.2077 -2.6302 3.9431
Y 2.5241 -1.8487 9.4990
Y 3.6808 -4.9300 10.3345
Y 2.9584 -1.6373 3.2216
Tl 0.6894 -3.1954 7.0860
Tl 0.0000 0.0000 0.0000
```

- crystal system = tetragonal
- polymorph energy (0 for the lowest one) (eV per atom) = 0.356
- space group = No. 122
- E_form (meV per atom) = 267

Compound: Na4YTl5
Source: Alexandria via LeMat-Bulk
Functional: GGA-PBE
Structure: relaxed

Cell and atoms, written as extended XYZ:
```
10
Lattice="3.6174 0.0000 0.0000 0.0000 3.6174 0.0000 0.0000 0.0000 21.6895" Properties=species:S:1:pos:R:3 pbc="T T T"
Tl 1.8087 1.8087 19.6414
Tl 1.8087 1.8087 10.8448
Tl 1.8087 1.8087 6.3560
Tl 1.8087 1.8087 15.3335
Tl 1.8087 1.8087 2.0481
Na 0.0000 0.0000 4.1604
Na 0.0000 0.0000 17.5292
Na 0.0000 0.0000 8.5956
Na 0.0000 0.0000 13.0940
Y 0.0000 0.0000 0.0000
```

- crystal system = tetragonal
- space group = No. 123
- E_form (meV per atom) = -152

Compound: NaYTl3
Source: Alexandria via LeMat-Bulk
Functional: GGA-PBE
Structure: relaxed

Cell and atoms, written as extended XYZ:
```
5
Lattice="-0.0002 -0.1766 -5.9457 2.7260 -5.2845 0.1569 -5.2869 -2.7248 0.0811" Properties=species:S:1:pos:R:3 pbc="T T T"
Tl 1.3630 -2.6423 0.0785
Tl -0.0001 -0.0883 -2.9728
Tl -2.6434 -1.3624 0.0405
Y 0.0000 0.0000 0.0000
Na -1.2805 -4.0930 -2.8538
```

- crystal system = cubic
- polymorph energy (0 for the lowest one) (eV per atom) = 0.452
- space group = No. 221
- E_form (meV per atom) = 295